Material: RbCaNb
Method: DFT, GGA-PBE
State: optimized geometry

Computed properties:
Space group: Pnma (62)
Energy relative to the elements in eV/atom: 0.552

Geometry as CIF:
```
data_RbCaNb
_chemical_formula_sum 'Rb4 Ca4 Nb4'
_space_group_name_H-M_alt 'P 1'
_space_group_IT_number 1
_cell_length_a 3.916
_cell_length_b 5.138
_cell_length_c 26.771
_cell_angle_alpha 90.00
_cell_angle_beta 90.00
_cell_angle_gamma 90.00
loop_
_space_group_symop_operation_xyz
'x,y,z'
loop_
_atom_site_label
_atom_site_type_symbol
_atom_site_fract_x
_atom_site_fract_y
_atom_site_fract_z
Nb1 Nb 0.228 0.250 0.280
Nb2 Nb 0.272 0.750 0.780
Nb3 Nb 0.772 0.750 0.720
Nb4 Nb 0.728 0.250 0.220
Ca1 Ca 0.774 0.250 0.805
Ca2 Ca 0.726 0.750 0.305
Ca3 Ca 0.226 0.750 0.195
Ca4 Ca 0.274 0.250 0.695
Rb1 Rb 0.754 0.250 0.424
Rb2 Rb 0.746 0.750 0.924
Rb3 Rb 0.246 0.750 0.576
Rb4 Rb 0.254 0.250 0.076
```


Material: YRuBr
Method: DFT, GGA-PBE
State: optimized geometry

Computed properties:
Space group: R-3m (166)
Raw total energy in eV/atom: -6.773

Geometry as CIF:
```
data_YRuBr
_chemical_formula_sum 'Y2 Ru2 Br2'
_space_group_name_H-M_alt 'P 1'
_space_group_IT_number 1
_cell_length_a 4.156
_cell_length_b 4.156
_cell_length_c 11.467
_cell_angle_alpha 79.56
_cell_angle_beta 79.56
_cell_angle_gamma 60.00
loop_
_space_group_symop_operation_xyz
'x,y,z'
loop_
_atom_site_label
_atom_site_type_symbol
_atom_site_fract_x
_atom_site_fract_y
_atom_site_fract_z
Y1 Y 0.441 0.441 0.677
Y2 Y 0.559 0.559 0.323
Ru1 Ru 0.164 0.164 0.508
Ru2 Ru 0.836 0.836 0.492
Br1 Br 0.720 0.720 0.840
Br2 Br 0.280 0.280 0.160
```


Material: RuPt
Method: DFT, GGA-PBE
State: optimized geometry

Computed properties:
Space group: P6_3/mmc (194)
Energy relative to the elements in eV/atom: 1.043

Geometry as CIF:
```
data_RuPt
_chemical_formula_sum 'Ru2 Pt2'
_space_group_name_H-M_alt 'P 1'
_space_group_IT_number 1
_cell_length_a 4.324
_cell_length_b 4.324
_cell_length_c 5.084
_cell_angle_alpha 90.00
_cell_angle_beta 90.00
_cell_angle_gamma 120.00
loop_
_space_group_symop_operation_xyz
'x,y,z'
loop_
_atom_site_label
_atom_site_type_symbol
_atom_site_fract_x
_atom_site_fract_y
_atom_site_fract_z
Ru1 Ru 0.333 0.667 0.250
Ru2 Ru 0.667 0.333 0.750
Pt1 Pt 0.333 0.667 0.750
Pt2 Pt 0.667 0.333 0.250
```